# 1
First-principles (PBE) data for crystalline NdAl6Ag4 at its relaxed geometry, as listed in Alexandria via LeMat-Bulk.

Results
Total magnetic moment = 0.00 μB/cell
E_form = -48 meV per atom

```
data_NdAl6Ag4
_chemical_formula_sum 'Nd2 Al12 Ag8'
_cell_length_a 6.748
_cell_length_b 6.748
_cell_length_c 9.753
_cell_angle_alpha 90.00
_cell_angle_beta 90.00
_cell_angle_gamma 90.00
_symmetry_space_group_name_H-M 'I -4 2 m'
_symmetry_Int_Tables_number 121
_symmetry_space_group_name_Hall 'I -4 2'
loop_
_atom_site_label
_atom_site_fract_x
_atom_site_fract_y
_atom_site_fract_z
Nd1 0.000 0.000 0.000
Al1 0.000 0.500 0.000
Al2 0.209 0.209 0.317
Ag1 0.164 0.164 0.597
```

=====

# 2
First-principles (PBE) data for crystalline MnMo2 at its relaxed geometry, as listed in Alexandria via LeMat-Bulk.

Results
Total magnetic moment = 0.00 μB/cell
E_form = 560 meV per atom

```
data_MnMo2
_chemical_formula_sum 'Mn2 Mo4'
_cell_length_a 3.601
_cell_length_b 4.527
_cell_length_c 5.843
_cell_angle_alpha 90.00
_cell_angle_beta 90.00
_cell_angle_gamma 90.00
_symmetry_space_group_name_H-M 'I m m m'
_symmetry_Int_Tables_number 71
_symmetry_space_group_name_Hall '-I 2 2'
loop_
_atom_site_label
_atom_site_fract_x
_atom_site_fract_y
_atom_site_fract_z
Mn1 0.000 0.000 0.000
Mo1 0.000 0.500 0.224
```